[1]
Material: ScCdSe2N
Method: DFT, PBE
State: optimized geometry

The energy above the lowest structure with this stoichiometry is 0 meV/atom.

The space group is P4/mmm (No. 123) and the conventional cell measures 5.272, 5.272 and 4.139 Å, with angles of 90.00, 90.00 and 90.00 degrees. The asymmetric unit holds Sc at (0.000, 0.000, 0.000), Cd at (0.500, 0.500, 0.500), Se at (0.000, 0.500, 0.000) and N at (0.000, 0.000, 0.500).

[2]
Material: InTe3W
Method: DFT, PBE
State: optimized geometry

The energy above the lowest structure with this stoichiometry is 1132 meV/atom.

The space group is Pm-3m (No. 221) and the conventional cell measures 5.568, 5.568 and 5.568 Å, with angles of 90.00, 90.00 and 90.00 degrees. The asymmetric unit holds In at (0.000, 0.000, 0.000), Te at (0.000, 0.000, 0.500) and W at (0.500, 0.500, 0.500).

[3]
Material: Ba6IO12
Method: DFT, PBE
State: optimized geometry

The space group is R-3 (No. 148, hexagonal axes) and the conventional cell measures 11.1579, 11.1579 and 10.6385 Å, with angles of 90.00, 90.00 and 120.00 degrees. The asymmetric unit holds Ba at (0.0708, 0.4784, 0.3221), I at (0.0000, 0.0000, 0.0000), O at (0.0433, 0.1596, 0.8993) and O at (0.0700, 0.2532, 0.3998).

[4]
Material: CaFeIr2
Method: DFT, PBE
State: optimized geometry

The energy of formation from the pure elements is 29 kJ per mole of atoms. The energy above the lowest structure with this stoichiometry is 308 meV/atom.

The space group is F-43m (No. 216) and the conventional cell measures 6.396, 6.396 and 6.396 Å, with angles of 90.00, 90.00 and 90.00 degrees. The asymmetric unit holds Ca at (0.000, 0.000, 0.000), Fe at (0.250, 0.250, 0.250), Ir at (0.000, 0.000, 0.500) and Ir at (0.250, 0.250, 0.750).

[5]
Material: Sr3TcPb
Method: DFT, PBE
State: optimized geometry

The energy of formation from the pure elements is 45 kJ per mole of atoms. The energy above the lowest structure with this stoichiometry is 0 meV/atom.

The space group is Pm-3m (No. 221) and the conventional cell measures 5.762, 5.762 and 5.762 Å, with angles of 90.00, 90.00 and 90.00 degrees. The asymmetric unit holds Sr at (0.000, 0.000, 0.500), Tc at (0.000, 0.000, 0.000) and Pb at (0.500, 0.500, 0.500).

[6]
Material: ZrScCl
Method: DFT, PBE
State: optimized geometry

The energy above the lowest structure with this stoichiometry is 628 meV/atom.

The space group is F-43m (No. 216) and the conventional cell measures 6.253, 6.253 and 6.253 Å, with angles of 90.00, 90.00 and 90.00 degrees. The asymmetric unit holds Zr at (0.000, 0.000, 0.000), Sc at (0.000, 0.000, 0.500) and Cl at (0.250, 0.250, 0.750).

[7]
Material: CaTl2Re
Method: DFT, PBE
State: optimized geometry

The energy of formation from the pure elements is 84 kJ per mole of atoms. The energy above the lowest structure with this stoichiometry is 338 meV/atom.

The space group is F-43m (No. 216) and the conventional cell measures 7.312, 7.312 and 7.312 Å, with angles of 90.00, 90.00 and 90.00 degrees. The asymmetric unit holds Ca at (0.000, 0.000, 0.000), Tl at (0.000, 0.000, 0.500), Tl at (0.250, 0.250, 0.750) and Re at (0.250, 0.250, 0.250).

[8]
Material: HoBiPd
Method: DFT, PBE
State: optimized geometry

The energy of formation from the pure elements is -56 kJ per mole of atoms.

The space group is I4mm (No. 107) and the conventional cell measures 3.518, 3.518 and 11.842 Å, with angles of 90.00, 90.00 and 90.00 degrees. The asymmetric unit holds Ho at (0.000, 0.000, 0.000), Bi at (0.000, 0.000, 0.292) and Pd at (0.000, 0.000, 0.628).

[9]
Material: ZnCu2Ni
Method: DFT, PBE
State: optimized geometry

The energy of formation from the pure elements is -5 kJ per mole of atoms.

The space group is Imm2 (No. 44) and the conventional cell measures 2.893, 4.107 and 8.140 Å, with angles of 90.00, 90.00 and 90.00 degrees. The asymmetric unit holds Zn at (0.000, 0.000, 0.000), Cu at (0.000, 0.000, 0.502), Cu at (0.000, 0.500, 0.752) and Ni at (0.000, 0.500, 0.252).

[10]
Material: BaMgPb3
Method: DFT, PBE
State: optimized geometry

The energy of formation from the pure elements is -28 kJ per mole of atoms. The energy above the lowest structure with this stoichiometry is 0 meV/atom.

The space group is Pnma (No. 62) and the conventional cell measures 10.308, 5.064 and 13.010 Å, with angles of 90.00, 90.00 and 90.00 degrees. The asymmetric unit holds Ba at (0.199, 0.250, 0.030), Mg at (0.090, 0.250, 0.346), Pb at (0.044, 0.250, 0.580), Pb at (0.116, 0.750, 0.819) and Pb at (0.204, 0.750, 0.239).

[11]
Material: ZnIn5
Method: DFT, PBE
State: optimized geometry

The energy of formation from the pure elements is 23 kJ per mole of atoms.

The space group is P6/mmm (No. 191) and the conventional cell measures 5.9264, 5.9264 and 5.7949 Å, with angles of 90.00, 90.00 and 120.00 degrees. The asymmetric unit holds Zn at (0.0000, 0.0000, 0.0000), In at (0.0000, 0.5000, 0.5000) and In at (0.3333, 0.6667, 0.0000).

[12]
Material: PuPaMnS4
Method: DFT, PBE
State: optimized geometry

The space group is P2_1/m (No. 11) and the conventional cell measures 6.451, 5.954 and 7.557 Å, with angles of 90.00, 106.81 and 90.00 degrees. The asymmetric unit holds Pu at (0.249, 0.250, 0.066), Pa at (0.238, 0.250, 0.558), Mn at (0.239, 0.750, 0.310), S at (0.021, 0.512, 0.750), S at (0.432, 0.750, 0.606) and S at (0.440, 0.750, 0.114).

| no. | electronic total energy (Ry/atom) |
| --- | --- |
| 1 | -0.336 |
| 2 | -0.256 |
| 3 | -0.404 |
| 4 | -0.496 |
| 5 | -0.247 |
| 6 | -0.416 |
| 7 | -0.289 |
| 8 | -0.377 |
| 9 | -0.284 |
| 10 | -0.237 |
| 11 | -0.166 |
| 12 | -0.618 |